[1]
AcSnBiN | the Alexandria database | GGA-PBE | relaxed; raw total energy = -5.46 eV/atom; crystal system = tetragonal; total magnetic moment = 0.0 Bohr magnetons per cell; uncorrected formation energy = -381 meV/atom
1.0
3.810 0.000 0.000
0.000 3.810 0.000
0.000 0.000 14.319
Ac Sn Bi N
2 2 2 2
Direct
0.000 0.000 0.000 Ac
0.500 0.500 0.500 Ac
0.000 0.000 0.672 Sn
0.500 0.500 0.172 Sn
0.000 0.000 0.324 Bi
0.500 0.500 0.824 Bi
0.000 0.000 0.511 N
0.500 0.500 0.011 N


[2]
MoS | the Alexandria database | GGA-PBE | relaxed; ΔE to the lowest computed polymorph = 15.679 kcal/mol of atoms; raw total energy = -7.26 eV/atom; crystal system = cubic; total magnetic moment = 2.5 Bohr magnetons per cell; uncorrected formation energy = 222 meV/atom
1.0
4.978 0.000 0.000
0.000 4.978 0.000
0.000 0.000 4.978
Mo S
4 4
Direct
0.000 0.000 0.000 Mo
0.000 0.500 0.500 Mo
0.500 0.000 0.500 Mo
0.500 0.500 0.000 Mo
0.000 0.000 0.500 S
0.000 0.500 0.000 S
0.500 0.000 0.000 S
0.500 0.500 0.500 S


[3]
Na2LiVSe4 | the Alexandria database | GGA-PBE | relaxed; raw total energy = -4.32 eV/atom; crystal system = orthorhombic; total magnetic moment = 0.0 Bohr magnetons per cell; uncorrected formation energy = -873 meV/atom
1.0
0.000 6.245 12.233
2.902 0.000 12.233
2.902 6.245 0.000
Na Li V Se
4 2 2 8
Direct
0.075 0.075 0.675 Na
0.325 0.325 0.925 Na
0.675 0.675 0.075 Na
0.925 0.925 0.325 Na
0.125 0.125 0.125 Li
0.875 0.875 0.875 Li
0.375 0.375 0.375 V
0.625 0.625 0.625 V
0.011 0.349 0.454 Se
0.314 0.546 0.651 Se
0.349 0.011 0.686 Se
0.454 0.686 0.011 Se
0.546 0.314 0.989 Se
0.651 0.989 0.314 Se
0.686 0.454 0.349 Se
0.989 0.651 0.546 Se


[4]
LiNdCu2Si2 | the Alexandria database | GGA-PBE | relaxed; raw total energy = -4.75 eV/atom; crystal system = trigonal; total magnetic moment = 0.0 Bohr magnetons per cell; uncorrected formation energy = -466 meV/atom
1.0
4.104 0.000 0.000
-2.052 3.554 0.000
0.000 0.000 6.777
Li Nd Cu Si
1 1 2 2
Direct
0.000 0.000 0.000 Li
0.000 0.000 0.500 Nd
0.333 0.667 0.162 Cu
0.667 0.333 0.838 Cu
0.333 0.667 0.791 Si
0.667 0.333 0.209 Si


[5]
NaCrI3 | the Alexandria database | GGA-PBE | relaxed; ΔE to the lowest computed polymorph = 16.431 kcal/mol of atoms; raw total energy = -2.93 eV/atom; crystal system = cubic; total magnetic moment = 4.0 Bohr magnetons per cell; uncorrected formation energy = 191 meV/atom
1.0
5.865 0.000 0.000
0.000 5.865 0.000
0.000 0.000 5.865
Na Cr I
1 1 3
Direct
0.000 0.000 0.000 Na
0.500 0.500 0.500 Cr
0.000 0.000 0.500 I
0.000 0.500 0.000 I
0.500 0.000 0.000 I


[6]
Rb2Zn2Cl5 | the Alexandria database | GGA-PBE | relaxed; raw total energy = -2.82 eV/atom; crystal system = monoclinic; total magnetic moment = 0.0 Bohr magnetons per cell; uncorrected formation energy = -1295 meV/atom
1.0
7.004 -2.641 0.000
7.004 2.641 0.000
-2.519 0.000 7.362
Rb Zn Cl
2 2 5
Direct
0.100 0.100 0.310 Rb
0.900 0.900 0.690 Rb
0.347 0.347 0.110 Zn
0.653 0.653 0.890 Zn
0.160 0.160 0.926 Cl
0.351 0.351 0.415 Cl
0.500 0.500 0.000 Cl
0.649 0.649 0.585 Cl
0.840 0.840 0.074 Cl